Entry 1:
## RbNp2F11 (PBE-GGA)

Data for crystalline RbNp2F11 at its relaxed geometry.

uncorrected formation energy	-75.489	kcal/mol of atoms
DFT total energy	-373.1	eV/cell

The structure in CIF format:
```
data_RbNp2F11
_symmetry_space_group_name_H-M 'I b a m'
_symmetry_Int_Tables_number 72
_symmetry_space_group_name_Hall '-I 2 2c'
_cell_length_a 9.795
_cell_length_b 10.257
_cell_length_c 12.231
_cell_angle_alpha 90.00
_cell_angle_beta 90.00
_cell_angle_gamma 90.00
loop_
_atom_site_label
_atom_site_fract_x
_atom_site_fract_y
_atom_site_fract_z
Rb1 0.000 0.000 0.250
Np1 0.155 0.338 0.000
F1 0.000 0.500 0.000
F2 0.056 0.235 0.120
F3 0.197 0.304 0.500
F4 0.238 0.064 0.381
```

---

Entry 2:
## Mg2TlIn8 (PBE-GGA)

Data for crystalline Mg2TlIn8 at its relaxed geometry.

ΔE_f	0.048	eV per atom
DFT total energy	-53.9	eV/cell

The structure in CIF format:
```
data_Mg2TlIn8
_symmetry_space_group_name_H-M 'C 1 2/m 1'
_symmetry_Int_Tables_number 12
_symmetry_space_group_name_Hall '-C 2y'
_cell_length_a 8.532
_cell_length_b 15.381
_cell_length_c 5.524
_cell_angle_alpha 90.00
_cell_angle_beta 124.03
_cell_angle_gamma 90.00
loop_
_atom_site_label
_atom_site_fract_x
_atom_site_fract_y
_atom_site_fract_z
Mg1 0.000 0.183 0.000
Tl1 0.000 0.500 0.500
In1 0.000 0.289 0.500
In2 0.080 0.000 0.313
In3 0.218 0.371 0.166
```

---

Entry 3:
## LiMnAsPd (PBE-GGA)

Data for crystalline LiMnAsPd at its relaxed geometry.

ΔE_f	-0.337	eV per atom
DFT total energy	-89.1	eV/cell

The structure in CIF format:
```
data_LiMnAsPd
_symmetry_space_group_name_H-M 'F -4 3 m'
_symmetry_Int_Tables_number 216
_symmetry_space_group_name_Hall 'F -4 2 3'
_cell_length_a 6.165
_cell_length_b 6.165
_cell_length_c 6.165
_cell_angle_alpha 90.00
_cell_angle_beta 90.00
_cell_angle_gamma 90.00
loop_
_atom_site_label
_atom_site_fract_x
_atom_site_fract_y
_atom_site_fract_z
Li1 0.000 0.000 0.000
Mn1 0.000 0.000 0.500
As1 0.250 0.250 0.250
Pd1 0.250 0.250 0.750
```

---

Entry 4:
## CoTcBr2 (PBE-GGA)

Data for crystalline CoTcBr2 at its relaxed geometry.

uncorrected formation energy	17.216	kcal/mol of atoms
DFT total energy	-53.5	eV/cell
ΔE to the lowest computed polymorph	590	meV per atom

The structure in CIF format:
```
data_CoTcBr2
_symmetry_space_group_name_H-M 'R -3 m'
_symmetry_Int_Tables_number 166
_symmetry_space_group_name_Hall '-R 3 2"'
_cell_length_a 3.2926
_cell_length_b 3.2926
_cell_length_c 23.5070
_cell_angle_alpha 90.00
_cell_angle_beta 90.00
_cell_angle_gamma 120.00
loop_
_atom_site_label
_atom_site_fract_x
_atom_site_fract_y
_atom_site_fract_z
Co1 0.0000 0.0000 0.0000
Tc1 0.0000 0.0000 0.5000
Br1 0.0000 0.0000 0.3973
```

---

Entry 5:
## PbAu3 (PBE-GGA)

Data for crystalline PbAu3 at its relaxed geometry.

ΔE_f	0.056	eV per atom
DFT total energy	-26.6	eV/cell

The structure in CIF format:
```
data_PbAu3
_symmetry_space_group_name_H-M 'P m -3 n'
_symmetry_Int_Tables_number 223
_symmetry_space_group_name_Hall '-P 4n 2 3'
_cell_length_a 5.547
_cell_length_b 5.547
_cell_length_c 5.547
_cell_angle_alpha 90.00
_cell_angle_beta 90.00
_cell_angle_gamma 90.00
loop_
_atom_site_label
_atom_site_fract_x
_atom_site_fract_y
_atom_site_fract_z
Pb1 0.000 0.000 0.000
Au1 0.000 0.250 0.500
```

---

Entry 6:
## TlAg2SeI (PBE-GGA)

Data for crystalline TlAg2SeI at its relaxed geometry.

uncorrected formation energy	-3.829	kcal/mol of atoms
DFT total energy	-13.9	eV/cell
ΔE to the lowest computed polymorph	91	meV per atom

The structure in CIF format:
```
data_TlAg2SeI
_symmetry_space_group_name_H-M 'P 4/m m m'
_symmetry_Int_Tables_number 123
_symmetry_space_group_name_Hall '-P 4 2'
_cell_length_a 5.019
_cell_length_b 5.019
_cell_length_c 6.675
_cell_angle_alpha 90.00
_cell_angle_beta 90.00
_cell_angle_gamma 90.00
loop_
_atom_site_label
_atom_site_fract_x
_atom_site_fract_y
_atom_site_fract_z
Tl1 0.000 0.000 0.000
Ag1 0.000 0.500 0.500
Se1 0.000 0.000 0.500
I1 0.500 0.500 0.000
```

---

Entry 7:
## TaSbMo2 (PBE-GGA)

Data for crystalline TaSbMo2 at its relaxed geometry.

uncorrected formation energy	5.945	kcal/mol of atoms
DFT total energy	-73.2	eV/cell

The structure in CIF format:
```
data_TaSbMo2
_symmetry_space_group_name_H-M 'C m m m'
_symmetry_Int_Tables_number 65
_symmetry_space_group_name_Hall '-C 2 2'
_cell_length_a 3.403
_cell_length_b 4.884
_cell_length_c 8.702
_cell_angle_alpha 90.00
_cell_angle_beta 90.00
_cell_angle_gamma 90.00
loop_
_atom_site_label
_atom_site_fract_x
_atom_site_fract_y
_atom_site_fract_z
Ta1 0.000 0.000 0.000
Sb1 0.000 0.000 0.500
Mo1 0.000 0.500 0.244
```

---

Entry 8:
## ErTi2W (PBE-GGA)

Data for crystalline ErTi2W at its relaxed geometry.

ΔE_f	0.111	eV per atom
DFT total energy	-32.9	eV/cell

The structure in CIF format:
```
data_ErTi2W
_symmetry_space_group_name_H-M 'P 4/m m m'
_symmetry_Int_Tables_number 123
_symmetry_space_group_name_Hall '-P 4 2'
_cell_length_a 3.313
_cell_length_b 3.313
_cell_length_c 7.131
_cell_angle_alpha 90.00
_cell_angle_beta 90.00
_cell_angle_gamma 90.00
loop_
_atom_site_label
_atom_site_fract_x
_atom_site_fract_y
_atom_site_fract_z
Er1 0.000 0.000 0.000
Ti1 0.500 0.500 0.304
W1 0.000 0.000 0.500
```

---

Entry 9:
## NpBe2TlO8 (PBE-GGA)

Data for crystalline NpBe2TlO8 at its relaxed geometry.

uncorrected formation energy	-38.878	kcal/mol of atoms
DFT total energy	-165.3	eV/cell

The structure in CIF format:
```
data_NpBe2TlO8
_symmetry_space_group_name_H-M 'C 1 2/m 1'
_symmetry_Int_Tables_number 12
_symmetry_space_group_name_Hall '-C 2y'
_cell_length_a 8.328
_cell_length_b 5.410
_cell_length_c 7.126
_cell_angle_alpha 90.00
_cell_angle_beta 94.43
_cell_angle_gamma 90.00
loop_
_atom_site_label
_atom_site_fract_x
_atom_site_fract_y
_atom_site_fract_z
Np1 0.000 0.000 0.000
Be1 0.160 0.500 0.238
Tl1 0.000 0.000 0.500
O1 0.048 0.256 0.214
O2 0.218 0.000 0.936
O3 0.249 0.000 0.553
```

---

Entry 10:
## Ca2AcDyHg4 (PBE-GGA)

Data for crystalline Ca2AcDyHg4 at its relaxed geometry.

ΔE_f	-0.525	eV per atom
DFT total energy	-54.4	eV/cell

The structure in CIF format:
```
data_Ca2AcDyHg4
_symmetry_space_group_name_H-M 'R -3 m'
_symmetry_Int_Tables_number 166
_symmetry_space_group_name_Hall '-R 3 2"'
_cell_length_a 5.4064
_cell_length_b 5.4064
_cell_length_c 26.8442
_cell_angle_alpha 90.00
_cell_angle_beta 90.00
_cell_angle_gamma 120.00
loop_
_atom_site_label
_atom_site_fract_x
_atom_site_fract_y
_atom_site_fract_z
Ca1 0.0000 0.0000 0.2473
Ac1 0.0000 0.0000 0.0000
Dy1 0.0000 0.0000 0.5000
Hg1 0.0000 0.0000 0.1288
Hg2 0.0000 0.0000 0.3816
```

---

Entry 11:
## CdIr3Se (PBE-GGA)

Data for crystalline CdIr3Se at its relaxed geometry.

uncorrected formation energy	23.559	kcal/mol of atoms
DFT total energy	-25.9	eV/cell
ΔE to the lowest computed polymorph	0	meV per atom

The structure in CIF format:
```
data_CdIr3Se
_symmetry_space_group_name_H-M 'P m -3 m'
_symmetry_Int_Tables_number 221
_symmetry_space_group_name_Hall '-P 4 2 3'
_cell_length_a 4.608
_cell_length_b 4.608
_cell_length_c 4.608
_cell_angle_alpha 90.00
_cell_angle_beta 90.00
_cell_angle_gamma 90.00
loop_
_atom_site_label
_atom_site_fract_x
_atom_site_fract_y
_atom_site_fract_z
Cd1 0.000 0.000 0.000
Ir1 0.000 0.500 0.500
Se1 0.500 0.500 0.500
```

---

Entry 12:
## AgPH (PBE-GGA)

Data for crystalline AgPH at its relaxed geometry.

DFT total energy	-22.7	eV/cell
ΔE to the lowest computed polymorph	14	meV per atom

The structure in CIF format:
```
data_AgPH
_symmetry_space_group_name_H-M 'P 1'
_symmetry_Int_Tables_number 1
_symmetry_space_group_name_Hall 'P 1'
_cell_length_a 4.640
_cell_length_b 4.673
_cell_length_c 5.795
_cell_angle_alpha 85.82
_cell_angle_beta 74.48
_cell_angle_gamma 63.38
loop_
_atom_site_label
_atom_site_fract_x
_atom_site_fract_y
_atom_site_fract_z
Ag1 0.000 0.000 0.000
Ag2 0.218 0.502 0.622
P1 0.721 0.588 0.491
P2 0.858 0.553 0.090
H1 0.527 0.689 0.053
H2 0.567 0.933 0.521
```